No. 1
Crystalline HoTm2Tl at its relaxed geometry. Source: the Alexandria database, functional PBE.

a = 4.806 Å, b = 4.806 Å, c = 4.797 Å
α = 90.00°, β = 90.00°, γ = 90.00°
Space group P4/mmm (No. 123)
Symmetry-distinct sites (fractional):
Ho (0.000, 0.000, 0.000)
Tm (0.000, 0.500, 0.500)
Tl (0.500, 0.500, 0.000)

Calculated values
energy relative to the lowest polymorph listed for this composition = 0.0 meV per atom
volume = 27.703 Å³ per atom
ΔE_f = -0.164 eV/atom


No. 2
Crystalline ZrTa2C at its relaxed geometry. Source: the Alexandria database, functional PBE.

a = 3.892 Å, b = 3.892 Å, c = 8.570 Å
α = 90.00°, β = 90.00°, γ = 90.00°
Space group I-4m2 (No. 119)
Symmetry-distinct sites (fractional):
Zr (0.000, 0.000, 0.000)
Ta (0.000, 0.000, 0.500)
Ta (0.000, 0.500, 0.250)
C (0.000, 0.500, 0.750)

Calculated values
volume = 16.224 Å³ per atom
ΔE_f = 1.037 eV/atom


No. 3
Crystalline SnS2Cl5 at its relaxed geometry. Source: the Alexandria database, functional PBE.

a = 7.024 Å, b = 7.077 Å, c = 8.912 Å
α = 101.46°, β = 100.31°, γ = 116.94°
Space group P1 (No. 1)
Symmetry-distinct sites (fractional):
Sn (0.000, 0.000, 0.000)
S (0.100, 0.650, 0.481)
S (0.788, 0.544, 0.401)
Cl (0.159, 0.117, 0.277)
Cl (0.255, 0.234, 0.895)
Cl (0.674, 0.018, 0.944)
Cl (0.703, 0.783, 0.500)
Cl (0.918, 0.635, 0.897)

Calculated values
volume = 46.030 Å³ per atom
formation energy without anion corrections = -53 kJ per mole of atoms


No. 4
Crystalline MgTa2Co at its relaxed geometry. Source: the Alexandria database, functional PBE.

a = 5.405 Å, b = 9.202 Å, c = 2.767 Å
α = 90.00°, β = 108.48°, γ = 90.00°
Space group C2/m (No. 12)
Symmetry-distinct sites (fractional):
Mg (0.000, 0.000, 0.000)
Ta (0.250, 0.250, 0.500)
Co (0.000, 0.500, 0.000)

Calculated values
volume = 16.312 Å³ per atom
ΔE_f = 0.286 eV/atom


No. 5
Crystalline TbAgP2O8 at its relaxed geometry. Source: the Alexandria database, functional PBE.

a = 7.034 Å, b = 7.034 Å, c = 6.152 Å
α = 90.00°, β = 90.00°, γ = 90.00°
Space group I-4m2 (No. 119)
Symmetry-distinct sites (fractional):
Tb (0.000, 0.000, 0.000)
Ag (0.000, 0.500, 0.750)
P (0.000, 0.000, 0.500)
P (0.000, 0.500, 0.250)
O (0.000, 0.168, 0.664)
O (0.000, 0.325, 0.097)

Calculated values
volume = 12.683 Å³ per atom
formation energy without anion corrections = -195 kJ per mole of atoms


No. 6
Crystalline CsLa2Co2 at its relaxed geometry. Source: the Alexandria database, functional PBE.

a = 5.065 Å, b = 5.065 Å, c = 14.011 Å
α = 90.00°, β = 90.00°, γ = 90.00°
Space group I4/mmm (No. 139)
Symmetry-distinct sites (fractional):
Cs (0.000, 0.000, 0.000)
La (0.000, 0.000, 0.299)
Co (0.000, 0.500, 0.250)

Calculated values
energy relative to the lowest polymorph listed for this composition = 0.0 meV per atom
volume = 35.941 Å³ per atom
ΔE_f = 0.383 eV/atom


No. 7
Crystalline Pm5Tl2CdRh2 at its relaxed geometry. Source: the Alexandria database, functional PBE.

a = 12.040 Å, b = 12.040 Å, c = 3.801 Å
α = 90.00°, β = 90.00°, γ = 90.00°
Space group P4/mbm (No. 127)
Symmetry-distinct sites (fractional):
Pm (0.000, 0.500, 0.000)
Pm (0.078, 0.205, 0.000)
Tl (0.174, 0.674, 0.500)
Cd (0.000, 0.000, 0.500)
Rh (0.130, 0.370, 0.500)

Calculated values
volume = 27.545 Å³ per atom
ΔE_f = -0.458 eV/atom


No. 8
Crystalline BaErPt at its relaxed geometry. Source: the Alexandria database, functional PBE.

a = 3.698 Å, b = 3.698 Å, c = 13.648 Å
α = 90.00°, β = 90.00°, γ = 90.00°
Space group I4mm (No. 107)
Symmetry-distinct sites (fractional):
Ba (0.000, 0.000, 0.000)
Er (0.000, 0.000, 0.256)
Pt (0.000, 0.000, 0.667)

Calculated values
volume = 31.105 Å³ per atom
ΔE_f = -0.667 eV/atom


No. 9
Crystalline BaAl2Tl2 at its relaxed geometry. Source: the Alexandria database, functional PBE.

a = 8.948 Å, b = 8.948 Å, c = 3.523 Å
α = 90.00°, β = 90.00°, γ = 90.00°
Space group P4/mbm (No. 127)
Symmetry-distinct sites (fractional):
Ba (0.000, 0.000, 0.000)
Al (0.156, 0.344, 0.500)
Tl (0.134, 0.634, 0.000)

Calculated values
energy relative to the lowest polymorph listed for this composition = 263.3 meV per atom
volume = 28.206 Å³ per atom
ΔE_f = 0.082 eV/atom


No. 10
Crystalline Ba4NiMo at its relaxed geometry. Source: the Alexandria database, functional PBE.

a = 9.945 Å, b = 9.945 Å, c = 9.945 Å
α = 90.00°, β = 90.00°, γ = 90.00°
Space group F-43m (No. 216)
Symmetry-distinct sites (fractional):
Ba (0.125, 0.125, 0.125)
Ni (0.000, 0.000, 0.500)
Mo (0.250, 0.250, 0.750)

Calculated values
volume = 40.986 Å³ per atom
ΔE_f = 1.395 eV/atom


No. 11
Crystalline Nb3InH at its relaxed geometry. Source: the Alexandria database, functional PBE.

a = 5.892 Å, b = 9.642 Å, c = 5.883 Å
α = 90.00°, β = 108.42°, γ = 90.00°
Space group Cm (No. 8)
Symmetry-distinct sites (fractional):
Nb (0.000, 0.000, 0.000)
Nb (0.012, 0.000, 0.531)
Nb (0.278, 0.242, 0.774)
Nb (0.279, 0.244, 0.275)
In (0.016, 0.500, 0.073)
In (0.027, 0.500, 0.575)
H (0.022, 0.121, 0.270)

Calculated values
volume = 15.854 Å³ per atom
calculated total energy = -146.37 eV/cell


No. 12
Crystalline ZrGa4Pd at its relaxed geometry. Source: the Alexandria database, functional PBE.

a = 9.663 Å, b = 5.827 Å, c = 7.765 Å
α = 90.00°, β = 94.07°, γ = 90.00°
Space group C2/c (No. 15)
Symmetry-distinct sites (fractional):
Zr (0.000, 0.119, 0.250)
Ga (0.009, 0.318, 0.916)
Ga (0.239, 0.379, 0.180)
Pd (0.250, 0.250, 0.500)

Calculated values
volume = 18.172 Å³ per atom
ΔE_f = -0.339 eV/atom